[1]
First-principles (GGA-PBE) data for a geometry-optimized Ho2Ga3Pt4Rh structure, as listed in Alexandria via LeMat-Bulk.

abc: 3.986 3.986 11.599
angles: 90.00 90.00 90.00
Sites, in units of the cell vectors:
Ho  0.000  0.500  0.240
Ho  0.500  0.000  0.760
Ga  0.000  0.000  0.000
Ga  0.000  0.500  0.633
Ga  0.500  0.000  0.367
Pt  0.000  0.000  0.500
Pt  0.000  0.500  0.843
Pt  0.500  0.000  0.157
Pt  0.500  0.500  0.500
Rh  0.500  0.500  0.000

## Properties
The value obtained for the volume is 184.33 Å³ per cell. The calculation puts the magnetic moment at 0.0 μB/cell. Its crystal system is tetragonal. Its space group is P-4m2, No. 115. Its formation energy is -881 meV per atom.

[2]
First-principles (GGA-PBE) data for a geometry-optimized HoGa4PtRh2 structure, as listed in Alexandria via LeMat-Bulk.

abc: 8.914 8.914 8.914
angles: 27.66 27.66 27.66
Sites, in units of the cell vectors:
Ho  0.000  0.000  0.000
Ga  0.128  0.128  0.128
Ga  0.396  0.396  0.396
Ga  0.604  0.604  0.604
Ga  0.872  0.872  0.872
Pt  0.500  0.500  0.500
Rh  0.235  0.235  0.235
Rh  0.765  0.765  0.765

## Properties
The value obtained for the volume is 134.80 Å³ per cell. The calculation puts the magnetic moment at 0.0 μB/cell. Its crystal system is trigonal. Its space group is R-3m, No. 166. Its formation energy is -650 meV per atom.

[3]
First-principles (GGA-PBE) data for a geometry-optimized HoGaRuPt structure, as listed in Alexandria via LeMat-Bulk.

abc: 6.492 6.492 6.492
angles: 90.00 90.00 90.00
Sites, in units of the cell vectors:
Ho  0.000  0.000  0.000
Ho  0.000  0.500  0.500
Ho  0.500  0.000  0.500
Ho  0.500  0.500  0.000
Ga  0.000  0.000  0.500
Ga  0.000  0.500  0.000
Ga  0.500  0.000  0.000
Ga  0.500  0.500  0.500
Ru  0.250  0.250  0.750
Ru  0.250  0.750  0.250
Ru  0.750  0.250  0.250
Ru  0.750  0.750  0.750
Pt  0.250  0.250  0.250
Pt  0.250  0.750  0.750
Pt  0.750  0.250  0.750
Pt  0.750  0.750  0.250

## Properties
The value obtained for the volume is 273.60 Å³ per cell. The calculation puts the magnetic moment at 0.0 μB/cell. Its crystal system is cubic. Its space group is F-43m, No. 216. Its formation energy is -641 meV per atom.

[4]
First-principles (GGA-PBE) data for a geometry-optimized HoScGa2Pt2 structure, as listed in Alexandria via LeMat-Bulk.

abc: 4.435 4.435 6.559
angles: 90.00 90.00 120.00
Sites, in units of the cell vectors:
Ho  0.000  0.000  0.000
Sc  0.000  0.000  0.500
Ga  0.333  0.667  0.280
Ga  0.667  0.333  0.720
Pt  0.333  0.667  0.725
Pt  0.667  0.333  0.275

## Properties
The value obtained for the volume is 111.74 Å³ per cell. The calculation puts the magnetic moment at 0.0 μB/cell. Its crystal system is trigonal. Its space group is P-3m1, No. 164. Its formation energy is -1080 meV per atom.

[5]
First-principles (GGA-PBE) data for a geometry-optimized Ho2ScGa3Pt4 structure, as listed in Alexandria via LeMat-Bulk.

abc: 4.084 4.084 11.472
angles: 90.00 90.00 90.00
Sites, in units of the cell vectors:
Ho  0.000  0.500  0.235
Ho  0.500  0.000  0.765
Sc  0.000  0.000  0.500
Ga  0.000  0.500  0.868
Ga  0.500  0.000  0.132
Ga  0.500  0.500  0.500
Pt  0.000  0.000  0.000
Pt  0.000  0.500  0.653
Pt  0.500  0.000  0.347
Pt  0.500  0.500  0.000

## Properties
The value obtained for the volume is 191.32 Å³ per cell. The calculation puts the magnetic moment at 0.0 μB/cell. Its crystal system is tetragonal. Its space group is P-4m2, No. 115. Its formation energy is -1006 meV per atom.

[6]
First-principles (GGA-PBE) data for a geometry-optimized Ho4GaPtSe2 structure, as listed in Alexandria via LeMat-Bulk.

abc: 6.903 3.965 7.521
angles: 90.00 108.06 90.00
Sites, in units of the cell vectors:
Ho  0.240  0.000  0.238
Ho  0.246  0.500  0.751
Ho  0.754  0.500  0.249
Ho  0.760  0.000  0.762
Ga  0.500  0.000  0.000
Pt  0.000  0.500  0.000
Se  0.000  0.000  0.500
Se  0.500  0.500  0.500

## Properties
The value obtained for the volume is 195.71 Å³ per cell. The calculation puts the magnetic moment at 0.0 μB/cell. Its crystal system is monoclinic. Its space group is P2/m, No. 10. Its formation energy from raw total energies is -1.2890 eV per atom.

[7]
First-principles (GGA-PBE) data for a geometry-optimized Ho2GaSiPt6 structure, as listed in Alexandria via LeMat-Bulk.

abc: 5.543 8.613 8.130
angles: 90.00 90.00 90.00
Sites, in units of the cell vectors:
Ho  0.250  0.003  0.234
Ho  0.250  0.497  0.234
Ho  0.750  0.503  0.766
Ho  0.750  0.997  0.766
Ga  0.250  0.750  0.773
Ga  0.750  0.250  0.227
Si  0.250  0.250  0.745
Si  0.750  0.750  0.255
Pt  0.000  0.250  0.494
Pt  0.000  0.750  0.506
Pt  0.001  0.750  0.024
Pt  0.250  0.001  0.614
Pt  0.250  0.499  0.614
Pt  0.499  0.750  0.024
Pt  0.500  0.250  0.494
Pt  0.500  0.750  0.506
Pt  0.501  0.250  0.976
Pt  0.750  0.501  0.386
Pt  0.750  0.999  0.386
Pt  0.999  0.250  0.976

## Properties
The value obtained for the volume is 388.18 Å³ per cell. The calculation puts the magnetic moment at 0.0 μB/cell. Its crystal system is orthorhombic. Its space group is Pmmn, No. 59. Its formation energy from raw total energies is -0.9328 eV per atom.

[8]
First-principles (GGA-PBE) data for a geometry-optimized Ho2GaSi3Pt4 structure, as listed in Alexandria via LeMat-Bulk.

abc: 4.190 4.190 10.039
angles: 90.00 90.00 90.00
Sites, in units of the cell vectors:
Ho  0.000  0.500  0.248
Ho  0.500  0.000  0.752
Ga  0.500  0.500  0.000
Si  0.000  0.000  0.000
Si  0.000  0.500  0.631
Si  0.500  0.000  0.369
Pt  0.000  0.000  0.500
Pt  0.000  0.500  0.864
Pt  0.500  0.000  0.136
Pt  0.500  0.500  0.500

## Properties
The value obtained for the volume is 176.24 Å³ per cell. The calculation puts the magnetic moment at 0.0 μB/cell. Its crystal system is tetragonal. Its space group is P-4m2, No. 115. Its formation energy from raw total energies is -1.0669 eV per atom.

[9]
First-principles (GGA-PBE) data for a geometry-optimized Ho2GaSi4Pt3 structure, as listed in Alexandria via LeMat-Bulk.

abc: 4.103 4.103 10.319
angles: 90.00 90.00 90.00
Sites, in units of the cell vectors:
Ho  0.000  0.500  0.250
Ho  0.500  0.000  0.750
Ga  0.000  0.000  0.500
Si  0.000  0.000  0.000
Si  0.000  0.500  0.643
Si  0.500  0.000  0.357
Si  0.500  0.500  0.000
Pt  0.000  0.500  0.873
Pt  0.500  0.000  0.127
Pt  0.500  0.500  0.500

## Properties
The value obtained for the volume is 173.69 Å³ per cell. The calculation puts the magnetic moment at 0.0 μB/cell. Its crystal system is tetragonal. Its space group is P-4m2, No. 115. Its formation energy from raw total energies is -0.9454 eV per atom.

[10]
First-principles (GGA-PBE) data for a geometry-optimized Ho3GaSi2Pt8 structure, as listed in Alexandria via LeMat-Bulk.

abc: 5.445 5.445 9.861
angles: 90.00 90.00 120.00
Sites, in units of the cell vectors:
Ho  0.000  0.000  0.000
Ho  0.333  0.667  0.578
Ho  0.667  0.333  0.422
Ga  0.000  0.000  0.500
Si  0.333  0.667  0.105
Si  0.667  0.333  0.895
Pt  0.166  0.331  0.287
Pt  0.166  0.834  0.287
Pt  0.331  0.166  0.713
Pt  0.333  0.667  0.875
Pt  0.667  0.333  0.125
Pt  0.669  0.834  0.287
Pt  0.834  0.166  0.713
Pt  0.834  0.669  0.713

## Properties
The value obtained for the volume is 253.15 Å³ per cell. The calculation puts the magnetic moment at 0.0 μB/cell. Its crystal system is trigonal. Its space group is P-3m1, No. 164. Its formation energy from raw total energies is -0.9313 eV per atom.

[11]
First-principles (GGA-PBE) data for a geometry-optimized Ho3GaSi2Pt9 structure, as listed in Alexandria via LeMat-Bulk.

abc: 6.327 6.327 8.999
angles: 90.00 90.00 120.00
Sites, in units of the cell vectors:
Ho  0.000  0.000  0.000
Ho  0.333  0.667  0.729
Ho  0.667  0.333  0.271
Ga  0.000  0.000  0.500
Si  0.333  0.667  0.182
Si  0.667  0.333  0.818
Pt  0.000  0.500  0.000
Pt  0.143  0.285  0.277
Pt  0.143  0.857  0.277
Pt  0.285  0.143  0.723
Pt  0.500  0.000  0.000
Pt  0.500  0.500  0.000
Pt  0.715  0.857  0.277
Pt  0.857  0.143  0.723
Pt  0.857  0.715  0.723

## Properties
The value obtained for the volume is 311.98 Å³ per cell. The calculation puts the magnetic moment at 0.0 μB/cell. Its crystal system is trigonal. Its space group is P-3m1, No. 164. Its formation energy from raw total energies is -0.7500 eV per atom.

[12]
First-principles (GGA-PBE) data for a geometry-optimized Sm2HoGa3Pt4 structure, as listed in Alexandria via LeMat-Bulk.

abc: 4.211 4.211 11.502
angles: 90.00 90.00 90.00
Sites, in units of the cell vectors:
Sm  0.000  0.500  0.228
Sm  0.500  0.000  0.772
Ho  0.000  0.000  0.500
Ga  0.000  0.500  0.874
Ga  0.500  0.000  0.126
Ga  0.500  0.500  0.500
Pt  0.000  0.000  0.000
Pt  0.000  0.500  0.658
Pt  0.500  0.000  0.342
Pt  0.500  0.500  0.000

## Properties
The value obtained for the volume is 203.97 Å³ per cell. The calculation puts the magnetic moment at 0.0 μB/cell. Its crystal system is tetragonal. Its space group is P-4m2, No. 115. Its formation energy is -985 meV per atom.

What did the second record say?
First-principles (GGA-PBE) data for a geometry-optimized HoGa4PtRh2 structure, as listed in Alexandria via LeMat-Bulk.

abc: 8.914 8.914 8.914
angles: 27.66 27.66 27.66
Sites, in units of the cell vectors:
Ho  0.000  0.000  0.000
Ga  0.128  0.128  0.128
Ga  0.396  0.396  0.396
Ga  0.604  0.604  0.604
Ga  0.872  0.872  0.872
Pt  0.500  0.500  0.500
Rh  0.235  0.235  0.235
Rh  0.765  0.765  0.765

## Properties
The value obtained for the volume is 134.80 Å³ per cell. The calculation puts the magnetic moment at 0.0 μB/cell. Its crystal system is trigonal. Its space group is R-3m, No. 166. Its formation energy is -650 meV per atom.